Entry 1:
Crystalline Pm6Nd2Dy3Ho at its relaxed geometry. Source: the Alexandria database, functional PBE.

a b c (Å): 6.2711 6.2711 11.9669
angles (deg): 95.01 95.01 119.99
Closest atoms and distances in Å follow each position.
Fractional positions:
Pm 0.0842 0.4164 0.2525  3 Dy 3.59, 6 Pm 3.61-3.63, 1 Ho 3.63, 2 Nd 3.64
Pm 0.9158 0.5836 0.7475  3 Dy 3.59, 6 Pm 3.61-3.63, 1 Ho 3.63, 2 Nd 3.64
Pm 0.4164 0.0842 0.2525  3 Dy 3.59, 6 Pm 3.61-3.63, 1 Ho 3.63, 2 Nd 3.64
Pm 0.7519 0.7519 0.2528  3 Dy 3.58-3.59, 6 Pm 3.61-3.63, 1 Ho 3.64, 2 Nd 3.64
Pm 0.2481 0.2481 0.7472  3 Dy 3.58-3.59, 6 Pm 3.61-3.63, 1 Ho 3.64, 2 Nd 3.64
Pm 0.5836 0.9158 0.7475  3 Dy 3.59, 6 Pm 3.61-3.63, 1 Ho 3.63, 2 Nd 3.64
Dy 0.5000 0.5000 0.5000  6 Pm 3.59, 6 Dy 3.62
Dy 0.1664 0.8336 0.5000  6 Pm 3.58-3.59, 6 Dy 3.61-3.62
Dy 0.8336 0.1664 0.5000  6 Pm 3.58-3.59, 6 Dy 3.61-3.62
Nd 0.3333 0.6667 0.0000  3 Ho 3.62, 3 Nd 3.62, 6 Pm 3.64
Nd 0.6667 0.3333 0.0000  3 Ho 3.62, 3 Nd 3.62, 6 Pm 3.64
Ho 0.0000 0.0000 0.0000  6 Nd 3.62, 6 Pm 3.63-3.64

- ρ: 7.492 g/cm³
- Energy: -4.69 eV per atom

Entry 2:
Crystalline GdTmCdHg at its relaxed geometry. Source: the Alexandria database, functional PBE.

a b c (Å): 5.2651 5.2651 5.2651
angles (deg): 60.00 60.00 60.00
Closest atoms and distances in Å follow each position.
Fractional positions:
Hg 0.2500 0.2500 0.2500  4 Tm 3.22, 4 Gd 3.22
Tm 0.0000 0.0000 0.0000  4 Cd 3.22, 4 Hg 3.22
Gd 0.5000 0.5000 0.5000  4 Hg 3.22, 4 Cd 3.22
Cd 0.7500 0.7500 0.7500  4 Gd 3.22, 4 Tm 3.22

- ρ: 10.284 g/cm³
- Energy: -5.34 eV per atom

Entry 3:
Crystalline LaTbSn at its relaxed geometry. Source: the Alexandria database, functional PBE.

a b c (Å): 4.7054 4.7054 9.3333
angles (deg): 104.60 104.60 89.99
Closest atoms and distances in Å follow each position.
Fractional positions:
Tb 0.5000 0.0000 0.0000  4 Sn 3.26, 4 Tb 3.33
Tb 0.0000 0.5000 0.0000  4 Sn 3.26, 4 Tb 3.33
Sn 0.8702 0.8702 0.7405  4 Tb 3.26, 5 La 3.36-3.43
Sn 0.1298 0.1298 0.2595  4 Tb 3.26, 5 La 3.36-3.43
La 0.6777 0.6777 0.3553  5 Sn 3.36-3.43
La 0.3223 0.3223 0.6447  5 Sn 3.36-3.43

- Distance to the lowest polymorph of the same formula: 0 meV/atom
- ρ: 7.165 g/cm³

Entry 4:
Crystalline Pr2NdS4 at its relaxed geometry. Source: the Alexandria database, functional PBE.

a b c (Å): 8.1972 8.1649 8.1649
angles (deg): 60.82 59.87 59.87
Closest atoms and distances in Å follow each position.
Fractional positions:
Pr 0.0000 0.0000 0.5000  6 S 2.87-2.92
Pr 0.0000 0.0000 0.0000  6 S 2.85-2.88
Pr 0.5000 0.0000 0.5000  6 S 2.87-2.92
Pr 0.0000 0.5000 0.5000  6 S 2.85-2.88
S 0.7612 0.7491 0.2491  3 Pr 2.85-2.87, 1 Nd 2.85
S 0.2511 0.2507 0.2471  3 Pr 2.88-2.92, 2 Nd 2.90
S 0.7489 0.2529 0.2493  3 Pr 2.88-2.92, 2 Nd 2.90
S 0.7594 0.2509 0.7509  3 Pr 2.85-2.87, 1 Nd 2.85
S 0.2406 0.7491 0.2491  3 Pr 2.85-2.87, 1 Nd 2.85
S 0.2388 0.2509 0.7509  3 Pr 2.85-2.87, 1 Nd 2.85
S 0.7489 0.7493 0.7529  3 Pr 2.88-2.92, 2 Nd 2.90
S 0.2511 0.7471 0.7507  3 Pr 2.88-2.92, 2 Nd 2.90
Nd 0.5000 0.5000 0.0000  6 S 2.85-2.90
Nd 0.0000 0.5000 0.0000  6 S 2.85-2.90

- Distance to the lowest polymorph of the same formula: 13 meV/atom
- Raw formation energy: -2005 meV/atom
- ρ: 4.745 g/cm³

Entry 5:
Crystalline BeB2S4 at its relaxed geometry. Source: the Alexandria database, functional PBE.

a b c (Å): 4.5068 4.5068 5.7948
angles (deg): 112.88 112.88 90.00
Closest atoms and distances in Å follow each position.
Fractional positions:
B 0.7500 0.2500 0.5000  4 S 1.96
B 0.2500 0.7500 0.5000  4 S 1.96
S 0.6251 0.6251 0.7362  2 B 1.96, 1 Be 2.08
S 0.3749 0.8890 0.2638  2 B 1.96, 1 Be 2.08
S 0.1110 0.1110 0.7362  2 B 1.96, 1 Be 2.08
S 0.8890 0.3749 0.2638  2 B 1.96, 1 Be 2.08
Be 0.5000 0.5000 0.0000  4 S 2.08

- Raw formation energy: -507 meV/atom
- ρ: 2.684 g/cm³

Entry 6:
Crystalline AlIn2Si at its relaxed geometry. Source: the Alexandria database, functional PBE.

a b c (Å): 6.6405 6.6405 7.1099
angles (deg): 62.16 62.16 90.00
Closest atoms and distances in Å follow each position.
Fractional positions:
In 0.1024 0.6250 0.2500  2 Si 2.61, 2 Al 2.80
In 0.3750 0.3524 0.7500  2 Si 2.61, 2 Al 2.80
In 0.8750 0.8976 0.7500  2 Si 2.61, 2 Al 2.80
In 0.6476 0.1250 0.2500  2 Si 2.61, 2 Al 2.80
Si 0.0000 0.0000 0.0000  4 In 2.61
Si 0.7500 0.2500 0.5000  4 In 2.61
Al 0.5000 0.5000 0.0000  4 In 2.80
Al 0.2500 0.7500 0.5000  4 In 2.80

- Raw formation energy: 500 meV/atom
- ρ: 4.016 g/cm³

Entry 7:
Crystalline SbS2NF6 at its relaxed geometry. Source: the Alexandria database, functional PBE.

a b c (Å): 5.9852 5.9852 5.5216
angles (deg): 88.33 88.33 70.53
Closest atoms and distances in Å follow each position.
Fractional positions:
F 0.8854 0.8854 0.7249  1 Sb 1.92
F 0.0820 0.6901 0.1512  1 Sb 1.92
F 0.6901 0.0820 0.1512  1 Sb 1.92
F 0.3099 0.9180 0.8488  1 Sb 1.92
F 0.9180 0.3099 0.8488  1 Sb 1.92
F 0.1146 0.1146 0.2751  1 Sb 1.92
S 0.6415 0.6415 0.3882  1 N 1.49
S 0.3585 0.3585 0.6118  1 N 1.49
Sb 0.0000 0.0000 0.0000  6 F 1.92
N 0.5000 0.5000 0.5000  2 S 1.49

- Raw formation energy: -1539 meV/atom
- ρ: 2.797 g/cm³

Entry 8:
Crystalline NaMgGa6 at its relaxed geometry. Source: the Alexandria database, functional PBE.

a b c (Å): 4.9930 5.4552 5.7467
angles (deg): 90.00 90.00 90.00
Closest atoms and distances in Å follow each position.
Fractional positions:
Ga 0.0000 0.1525 0.2559  7 Ga 2.81-3.00, 1 Na 3.02, 2 Mg 3.10
Ga 0.5000 0.8486 0.2549  7 Ga 2.82-3.00, 1 Mg 2.98, 2 Na 3.12
Ga 0.5000 0.8486 0.7451  7 Ga 2.82-3.00, 1 Mg 2.98, 2 Na 3.12
Ga 0.5000 0.2944 0.0000  6 Ga 2.84-3.00, 2 Mg 2.90, 2 Na 3.12
Ga 0.0000 0.6985 0.5000  6 Ga 2.85-2.98, 2 Na 2.89, 2 Mg 3.08
Ga 0.0000 0.1525 0.7441  7 Ga 2.81-3.00, 1 Na 3.02, 2 Mg 3.10
Na 0.0000 0.6368 0.0000  12 Ga 2.89-3.17
Mg 0.5000 0.3681 0.5000  12 Ga 2.90-3.16

- Distance to the lowest polymorph of the same formula: 0 meV/atom
- ρ: 4.940 g/cm³

Entry 9:
Crystalline MgOs2Br at its relaxed geometry. Source: the Alexandria database, functional PBE.

a b c (Å): 9.1722 9.1722 9.1722
angles (deg): 18.05 18.05 18.05
Closest atoms and distances in Å follow each position.
Fractional positions:
Os 0.0001 0.0001 0.0001  3 Mg 2.80, 3 Br 2.80, 6 Os 2.88
Os 0.4999 0.4999 0.4999  3 Mg 2.80, 3 Br 2.80, 6 Os 2.88
Br 0.2500 0.2500 0.2500  6 Os 2.80, 6 Br 2.88
Mg 0.7500 0.7500 0.7500  6 Os 2.80, 6 Mg 2.88

- Distance to the lowest polymorph of the same formula: 615 meV/atom
- Raw formation energy: 869 meV/atom
- ρ: 12.446 g/cm³

Entry 10:
Crystalline PaHg5 at its relaxed geometry. Source: the Alexandria database, functional PBE.

a b c (Å): 4.8176 4.6968 6.8990
angles (deg): 109.90 90.00 90.00
Closest atoms and distances in Å follow each position.
Fractional positions:
Hg 0.0000 0.3294 0.6589  10 Hg 3.12-3.36, 2 Pa 3.23
Hg 0.0000 0.6706 0.3411  10 Hg 3.12-3.36, 2 Pa 3.23
Hg 0.5000 0.8347 0.6694  10 Hg 3.18-3.36, 2 Pa 3.23
Hg 0.5000 0.5000 0.0000  8 Hg 3.18-3.27, 4 Pa 3.36
Hg 0.5000 0.1653 0.3306  10 Hg 3.18-3.36, 2 Pa 3.23
Pa 0.0000 0.0000 0.0000  12 Hg 3.23-3.36

- Distance to the lowest polymorph of the same formula: 0 meV/atom
- ρ: 13.960 g/cm³

Entry 11:
Crystalline MgTlH at its relaxed geometry. Source: the Alexandria database, functional PBE.

a b c (Å): 3.4888 3.5417 10.0167
angles (deg): 80.79 90.00 119.51
Closest atoms and distances in Å follow each position.
Fractional positions:
Tl 0.6186 0.2372 0.6274  3 Mg 3.13-3.16, 5 Tl 3.17-3.49
Tl 0.3814 0.7628 0.3726  3 Mg 3.13-3.16, 5 Tl 3.17-3.49
Mg 0.8717 0.7433 0.8717  4 H 2.02-2.11
Mg 0.1283 0.2567 0.1283  4 H 2.02-2.11
H 0.1895 0.3790 0.9228  4 Mg 2.02-2.11
H 0.8105 0.6210 0.0772  4 Mg 2.02-2.11

- Distance to the lowest polymorph of the same formula: 0 meV/atom
- ρ: 7.205 g/cm³

Entry 12:
Crystalline Ir2C at its relaxed geometry. Source: the Alexandria database, functional PBE.

a b c (Å): 3.9526 5.0815 7.5144
angles (deg): 90.00 90.00 90.00
Closest atoms and distances in Å follow each position.
Fractional positions:
C 0.2500 0.6775 0.3812  5 Ir 1.99-2.12
C 0.2500 0.1775 0.1188  5 Ir 1.99-2.12
C 0.7500 0.3225 0.6188  5 Ir 1.99-2.12
C 0.7500 0.8225 0.8812  5 Ir 1.99-2.12
Ir 0.7500 0.4317 0.8799  2 C 1.99-2.04
Ir 0.2500 0.9758 0.8766  3 C 2.09-2.12
Ir 0.2500 0.5683 0.1201  2 C 1.99-2.04
Ir 0.7500 0.9317 0.6201  2 C 1.99-2.04
Ir 0.2500 0.4758 0.6234  3 C 2.09-2.12
Ir 0.7500 0.5242 0.3766  3 C 2.09-2.12
Ir 0.2500 0.0683 0.3799  2 C 1.99-2.04
Ir 0.7500 0.0242 0.1234  3 C 2.09-2.12

- Distance to the lowest polymorph of the same formula: 56 meV/atom
- ρ: 17.447 g/cm³

Entry 13:
Crystalline SrPt2 at its relaxed geometry. Source: the Alexandria database, functional PBE.

a b c (Å): 9.7958 9.7958 4.5900
angles (deg): 90.00 90.00 162.41
Closest atoms and distances in Å follow each position.
Fractional positions:
Pt 0.4655 0.5345 0.7500  2 Pt 2.65
Pt 0.2455 0.7545 0.2500  6 Pt 2.75-3.00, 2 Sr 3.07
Pt 0.7545 0.2455 0.7500  6 Pt 2.75-3.00, 2 Sr 3.07
Pt 0.5345 0.4655 0.2500  2 Pt 2.65
Sr 0.8836 0.1164 0.2500  2 Sr 3.00, 8 Pt 3.07-3.28
Sr 0.1164 0.8836 0.7500  2 Sr 3.00, 8 Pt 3.07-3.28

- ρ: 11.919 g/cm³
- Energy: -4.95 eV per atom

Entry 14:
Crystalline GaAgPtPb2 at its relaxed geometry. Source: the Alexandria database, functional PBE.

a b c (Å): 3.6591 4.4570 8.5735
angles (deg): 76.85 77.58 66.53
Closest atoms and distances in Å follow each position.
Fractional positions:
Pt 0.4598 0.0030 0.3886  3 Ga 2.48-2.53
Pb 0.3714 0.8386 0.7296  1 Pt 2.83
Pb 0.9756 0.3237 0.0177  3 Ag 2.89-2.96
Ga 0.7458 0.3758 0.4509  3 Pt 2.48-2.53
Ag 0.2135 0.6708 0.2108  2 Ga 2.82-2.87, 3 Pt 2.83-2.90, 3 Pb 2.89-2.96

- Distance to the lowest polymorph of the same formula: 94 meV/atom
- ρ: 10.568 g/cm³

Entry 15:
Crystalline TcRuCl2 at its relaxed geometry. Source: the Alexandria database, functional PBE.

a b c (Å): 4.1559 3.0202 5.0925
angles (deg): 94.38 90.00 90.00
Closest atoms and distances in Å follow each position.
Fractional positions:
Ru 0.5000 0.2500 0.2500  4 Cl 2.53
Cl 0.0000 0.9953 0.9987  2 Tc 2.52, 2 Ru 2.53
Cl 0.0000 0.5047 0.5013  2 Tc 2.52, 2 Ru 2.53
Tc 0.5000 0.7500 0.7500  4 Cl 2.52

- Distance to the lowest polymorph of the same formula: 800 meV/atom
- Raw formation energy: 735 meV/atom
- ρ: 7.034 g/cm³

Entry 16:
Crystalline Pm2ScGa4Ni3 at its relaxed geometry. Source: the Alexandria database, functional PBE.

a b c (Å): 4.0991 4.0991 10.9913
angles (deg): 90.00 90.00 90.00
Closest atoms and distances in Å follow each position.
Fractional positions:
Sc 0.5000 0.5000 0.5000  4 Ga 2.72, 4 Ni 2.90
Ga 0.0000 0.5000 0.3378  1 Ni 2.37
Ga 0.5000 0.5000 0.0000  4 Ni 2.45
Ga 0.5000 0.0000 0.6622  1 Ni 2.37
Ga 0.0000 0.0000 0.0000  4 Ni 2.45
Pm 0.5000 0.0000 0.2271  4 Ni 3.12, 8 Ga 3.14-3.23
Pm 0.0000 0.5000 0.7729  4 Ni 3.12, 8 Ga 3.14-3.23
Ni 0.0000 0.5000 0.1219  5 Ga 2.37-2.45
Ni 0.0000 0.0000 0.5000  4 Ga 2.72, 4 Sc 2.90
Ni 0.5000 0.0000 0.8781  5 Ga 2.37-2.45

- ρ: 7.103 g/cm³
- Energy: -5.08 eV per atom

Entry 17:
Crystalline La3AgHg at its relaxed geometry. Source: the Alexandria database, functional PBE.

a b c (Å): 5.0864 6.6821 10.0414
angles (deg): 96.01 89.97 112.40
Closest atoms and distances in Å follow each position.
Fractional positions:
La 0.5740 0.1483 0.8555  1 Hg 3.12, 3 Ag 3.16-3.25
La 0.1475 0.2945 0.5930  1 Ag 3.20, 3 Hg 3.20-3.25
La 0.1219 0.2433 0.1726  3 Ag 3.19-3.23, 2 Hg 3.50, 2 La 3.50
La 0.8781 0.7567 0.8274  3 Ag 3.19-3.23, 2 Hg 3.50, 2 La 3.50
La 0.8525 0.7055 0.4070  1 Ag 3.20, 3 Hg 3.20-3.25
La 0.4260 0.8517 0.1445  1 Hg 3.12, 3 Ag 3.16-3.25
Hg 0.4097 0.8202 0.5958  1 Hg 3.10, 4 La 3.12-3.25
Hg 0.5903 0.1798 0.4042  1 Hg 3.10, 4 La 3.12-3.25
Ag 0.7628 0.5257 0.0956  7 La 3.16-3.25, 2 Ag 3.18
Ag 0.2372 0.4743 0.9044  7 La 3.16-3.25, 2 Ag 3.18

- Distance to the lowest polymorph of the same formula: 54 meV/atom
- ρ: 7.682 g/cm³

Entry 18:
Crystalline LaMgW at its relaxed geometry. Source: the Alexandria database, functional PBE.

a b c (Å): 8.1999 8.0865 2.9546
angles (deg): 81.72 77.39 20.89
Closest atoms and distances in Å follow each position.
Fractional positions:
W 0.6751 0.6751 0.3249  4 Mg 2.86-3.17, 4 W 2.95, 2 La 3.17
Mg 0.3133 0.3133 0.6867  4 W 2.86-3.17, 4 Mg 2.95
La 0.0116 0.0116 0.9884  4 La 2.95, 2 W 3.17

- Distance to the lowest polymorph of the same formula: 29 meV/atom
- ρ: 8.582 g/cm³

Entry 19:
Crystalline NbAlHg2Os at its relaxed geometry. Source: the Alexandria database, functional PBE.

a b c (Å): 5.2592 4.7673 5.2592
angles (deg): 90.00 90.00 90.00
Closest atoms and distances in Å follow each position.
Fractional positions:
Al 0.5000 0.5000 0.5000  8 Hg 3.55, 4 Nb 3.72
Nb 0.0000 0.5000 0.0000  2 Os 2.38
Hg 0.5000 0.0000 0.0000  2 Os 2.63
Hg 0.0000 0.0000 0.5000  2 Os 2.63
Os 0.0000 0.0000 0.0000  2 Nb 2.38, 4 Hg 2.63

- ρ: 8.957 g/cm³
- Energy: -4.08 eV per atom

Entry 20:
Crystalline La4ZnPBr2 at its relaxed geometry. Source: the Alexandria database, functional PBE.

a b c (Å): 4.2491 7.5554 7.7649
angles (deg): 108.31 90.00 90.00
Closest atoms and distances in Å follow each position.
Fractional positions:
P 0.5000 0.5000 0.0000  6 La 2.91-2.95
Br 0.0000 0.5000 0.5000  6 La 3.17-3.19
Br 0.5000 0.0000 0.5000  6 La 3.27-3.28
La 0.0000 0.7276 0.2173  2 P 2.91, 1 Zn 3.04, 1 Br 3.19
La 0.5000 0.2513 0.2261  1 P 2.95, 2 Zn 3.02, 3 Br 3.17-3.27
La 0.5000 0.7487 0.7739  1 P 2.95, 2 Zn 3.02, 3 Br 3.17-3.27
La 0.0000 0.2724 0.7827  2 P 2.91, 1 Zn 3.04, 1 Br 3.19
Zn 0.0000 0.0000 0.0000  6 La 3.02-3.04

- Raw formation energy: -1163 meV/atom
- ρ: 5.696 g/cm³

Number 1: total magnetic moment 0.0 μB per cell. Number 2: total magnetic moment 7.7 μB per cell. Number 3: total magnetic moment 1.1 μB per cell. Number 4: total magnetic moment 0.0 μB per cell. Number 5: total magnetic moment 0.0 μB per cell. Number 6: total magnetic moment 0.0 μB per cell. Number 7: total magnetic moment 0.0 μB per cell. Number 8: total magnetic moment 0.0 μB per cell. Number 9: total magnetic moment 0.0 μB per cell. Number 10: total magnetic moment 1.3 μB per cell. Number 11: total magnetic moment 0.0 μB per cell. Number 12: total magnetic moment 0.0 μB per cell. Number 13: total magnetic moment 0.0 μB per cell. Number 14: total magnetic moment 0.0 μB per cell. Number 15: total magnetic moment 0.9 μB per cell. Number 16: total magnetic moment 0.0 μB per cell. Number 17: total magnetic moment 0.0 μB per cell. Number 18: total magnetic moment 0.0 μB per cell. Number 19: total magnetic moment 0.2 μB per cell. Number 20: total magnetic moment 0.0 μB per cell.